# SrCo2Tc2O7 | Alexandria via LeMat-Bulk | GGA+U | optimized geometry
data_SrCo2Tc2O7
_chemical_formula_sum 'Sr1 Co2 Tc2 O7'
_cell_length_a 9.432
_cell_length_b 9.432
_cell_length_c 4.174
_cell_angle_alpha 102.60
_cell_angle_beta 102.60
_cell_angle_gamma 23.40
_space_group_name_H-M_alt 'P 1'
_space_group_IT_number 1
loop_
_space_group_symop_operation_xyz
'x,y,z'
loop_
_atom_site_label
_atom_site_fract_x
_atom_site_fract_y
_atom_site_fract_z
Sr1 0.000 0.000 0.000
Co1 0.272 0.272 0.761
Co2 0.728 0.728 0.239
Tc1 0.390 0.390 0.389
Tc2 0.610 0.610 0.611
O1 0.110 0.110 0.609
O2 0.272 0.272 0.265
O3 0.386 0.386 0.888
O4 0.500 0.500 0.500
O5 0.614 0.614 0.112
O6 0.728 0.728 0.735
O7 0.890 0.890 0.391
# Total magnetic moment ... 0.6033 μB/atom
# E_tot ... -7.05 eV/atom